(1)
This record from Alexandria via LeMat-Bulk describes crystalline TbPr2Te at its relaxed geometry. The functional is PBE.

Cell: 4.0010 4.0010 8.0861 Å, 90.00 90.00 90.00°
Fractional coordinates of all 4 atoms:
Pr 0.0000 0.0000 0.7763
Pr 0.0000 0.0000 0.2237
Te 0.5000 0.5000 0.0000
Tb 0.5000 0.5000 0.5000

Properties
The magnetic moment is 0.0 μB per formula unit. The excess energy over the best structure of this formula in the dataset comes out at 0 meV/atom. As for the crystal system: tetragonal. The value obtained for the density of states at the Fermi level is 1.375 states/eV/atom. Its space-group type is P4/mmm. Its calculated total energy is -4.9090 eV per atom. As for the uncorrected formation energy: -0.58 eV per atom.

***

(2)
This record from Alexandria via LeMat-Bulk describes crystalline TbPr6Te8 at its relaxed geometry. The functional is PBE.

Cell: 9.0179 9.0179 9.0179 Å, 60.00 60.00 60.00°
Fractional coordinates of all 15 atoms:
Tb 0.0000 0.0000 0.0000
Pr 0.0000 0.5000 0.5000
Pr 0.5000 0.0000 0.0000
Pr 0.5000 0.5000 0.0000
Pr 0.0000 0.0000 0.5000
Pr 0.0000 0.5000 0.0000
Pr 0.5000 0.0000 0.5000
Te 0.7500 0.7500 0.7500
Te 0.2500 0.2500 0.2500
Te 0.7513 0.2487 0.2487
Te 0.2487 0.7513 0.7513
Te 0.2487 0.2487 0.7513
Te 0.7513 0.7513 0.2487
Te 0.7513 0.2487 0.7513
Te 0.2487 0.7513 0.2487

Properties
The magnetic moment is 0.0 μB per formula unit. As for the crystal system: cubic. The value obtained for the density of states at the Fermi level is 0.492 states/eV/atom. Its space-group type is Fm-3m. Its calculated total energy is -5.3559 eV per atom. As for the uncorrected formation energy: -1.46 eV per atom.

***

(3)
This record from Alexandria via LeMat-Bulk describes crystalline Tb2Pr2Te5 at its relaxed geometry. The functional is PBE.

Cell: 8.3052 9.0462 9.0462 Å, 125.29 90.00 90.00°
Fractional coordinates of all 18 atoms:
Tb 0.3496 0.1459 0.1459
Tb 0.6504 0.8541 0.8541
Tb 0.8496 0.3541 0.3541
Tb 0.1504 0.6459 0.6459
Pr 0.0000 0.8024 0.1976
Pr 0.5000 0.3024 0.6976
Pr 0.0000 0.1976 0.8024
Pr 0.5000 0.6976 0.3024
Te 0.0000 0.0000 0.0000
Te 0.5000 0.5000 0.5000
Te 0.1555 0.2054 0.4771
Te 0.8445 0.5229 0.7946
Te 0.6555 0.0229 0.2946
Te 0.3445 0.7054 0.9771
Te 0.8445 0.7946 0.5229
Te 0.1555 0.4771 0.2054
Te 0.3445 0.9771 0.7054
Te 0.6555 0.2946 0.0229

Properties
The magnetic moment is 0.0 μB per formula unit. As for the crystal system: orthorhombic. The value obtained for the density of states at the Fermi level is 0.740 states/eV/atom. Its space-group type is Cmce. Its calculated total energy is -5.1847 eV per atom. As for the uncorrected formation energy: -1.35 eV per atom.

***

(4)
This record from Alexandria via LeMat-Bulk describes crystalline TbPrTe6 at its relaxed geometry. The functional is PBE.

Cell: 4.3755 4.3769 13.7820 Å, 90.00 99.13 90.00°
Fractional coordinates of all 8 atoms:
Tb 0.8282 0.0000 0.6565
Pr 0.1725 0.5000 0.3450
Te 0.5769 0.5000 0.1538
Te 0.4206 0.0000 0.8412
Te 0.2946 0.5000 0.5892
Te 0.7097 0.0000 0.4194
Te 0.9205 0.5000 0.8410
Te 0.0770 0.0000 0.1539

Properties
The magnetic moment is 0.0 μB per formula unit. As for the crystal system: orthorhombic. The value obtained for the density of states at the Fermi level is 0.292 states/eV/atom. Its space-group type is Amm2. Its calculated total energy is -4.4937 eV per atom. As for the uncorrected formation energy: -0.96 eV per atom.

***

(5)
This record from Alexandria via LeMat-Bulk describes crystalline TbPr2Te at its relaxed geometry. The functional is PBE.

Cell: 4.0348 4.0348 10.2264 Å, 78.62 78.62 60.00°
Last column: magnetic moment on the atom in μB.
Fractional coordinates of all 4 atoms:
Tb 0.4997 0.4997 0.5010  0.14
Pr 0.0727 0.0727 0.7820  0.04
Pr 0.2608 0.2608 0.2175  0.02
Te 0.6668 0.6668 0.9995  0.00

Properties
The magnetic moment is 0.4 μB per formula unit. The excess energy over the best structure of this formula in the dataset comes out at 30 meV/atom. As for the crystal system: trigonal. The value obtained for the density of states at the Fermi level is 1.149 states/eV/atom. Its space-group type is R3m. Its calculated total energy is -4.8786 eV per atom. As for the uncorrected formation energy: -0.55 eV per atom.

***

(6)
This record from Alexandria via LeMat-Bulk describes crystalline Tb2PrTe at its relaxed geometry. The functional is PBE.

Cell: 3.9295 3.9295 10.2124 Å, 78.91 78.91 60.00°
Fractional coordinates of all 4 atoms:
Tb 0.0702 0.0702 0.7894
Tb 0.2633 0.2633 0.2101
Pr 0.4997 0.4997 0.5008
Te 0.6667 0.6667 0.9998

Properties
The magnetic moment is 0.0 μB per formula unit. The excess energy over the best structure of this formula in the dataset comes out at 127 meV/atom. As for the crystal system: trigonal. The value obtained for the density of states at the Fermi level is 1.304 states/eV/atom. Its space-group type is R3m. Its calculated total energy is -4.8402 eV per atom. As for the uncorrected formation energy: -0.54 eV per atom.